# TlMoAs

Crystalline TlMoAs at its relaxed geometry (GGA-PBE, Alexandria via LeMat-Bulk).

Cell lengths 3.963, 3.963, 9.319 Å; angles 90.00, 90.00, 90.00 degrees
Space group P4/nmm (No. 129, origin choice 2)
Asymmetric unit:
Tl: 0.250 0.250 0.163 [2 per cell]
Mo: 0.250 0.750 0.500 [2 per cell]
As: 0.250 0.250 0.683 [2 per cell]

Summary:
* magnetization: 0.00 Bohr magnetons per cell
* energy of formation from the pure elements: 0.003 eV per atom
* electronic total energy: -5.95 eV per atom
* relative energy among the computed polymorphs: 0.0 meV per atom
* density: 8.51 Mg/m³
* density of states at the Fermi level: 3.813 states/eV per cell

=====

# TlMoAs2

Crystalline TlMoAs2 at its relaxed geometry (GGA-PBE, Alexandria via LeMat-Bulk).

Cell lengths 3.361, 3.361, 7.392 Å; angles 90.00, 90.00, 90.00 degrees
Space group P4mm (No. 99)
Asymmetric unit:
Tl: 0.000 0.000 0.000 [1 per cell]
Mo: 0.500 0.500 0.696 [1 per cell]
As: 0.000 0.000 0.570 [1 per cell]
As: 0.500 0.500 0.341 [1 per cell]

Summary:
* magnetization: 0.00 Bohr magnetons per cell
* energy of formation from the pure elements: 0.272 eV per atom
* electronic total energy: -5.35 eV per atom
* relative energy among the computed polymorphs: 321.2 meV per atom
* density: 8.95 Mg/m³
* density of states at the Fermi level: 2.921 states/eV per cell

=====

# TlMo2As

Crystalline TlMo2As at its relaxed geometry (GGA-PBE, Alexandria via LeMat-Bulk).

Cell lengths 4.073, 4.073, 8.568 Å; angles 90.00, 90.00, 90.00 degrees
Space group I-4m2 (No. 119)
Asymmetric unit:
Tl: 0.000 0.000 0.000 [2 per cell]
Mo: 0.000 0.000 0.500 [2 per cell]
Mo: 0.000 0.500 0.250 [2 per cell]
As: 0.000 0.500 0.750 [2 per cell]

Summary:
* magnetization: 0.00 Bohr magnetons per cell
* energy of formation from the pure elements: 0.712 eV per atom
* electronic total energy: -6.46 eV per atom
* relative energy among the computed polymorphs: 510.9 meV per atom
* density: 11.01 Mg/m³
* density of states at the Fermi level: 8.807 states/eV per cell

=====

# TlMoAs2

Crystalline TlMoAs2 at its relaxed geometry (GGA-PBE, Alexandria via LeMat-Bulk).

Cell lengths 6.833, 6.833, 6.833 Å; angles 90.00, 90.00, 90.00 degrees
Space group Fm-3m (No. 225)
Asymmetric unit:
Tl: 0.000 0.000 0.000 [4 per cell]
Mo: 0.000 0.000 0.500 [4 per cell]
As: 0.250 0.250 0.250 [8 per cell]

Summary:
* magnetization: 8.15 Bohr magnetons per cell
* energy of formation from the pure elements: 0.584 eV per atom
* electronic total energy: -5.04 eV per atom
* relative energy among the computed polymorphs: 633.4 meV per atom
* density: 9.37 Mg/m³
* density of states at the Fermi level: 11.649 states/eV per cell